Record 1
Sc2MnRu2 after structural relaxation. Source: Alexandria, functional PBE.

Unit cell a=6.266 b=6.266 c=4.288 alpha=90.00 beta=90.00 gamma=90.00
Sites, in units of the cell vectors:
Sc 0.177 0.323 0.000
Sc 0.323 0.823 0.000
Sc 0.677 0.177 0.000
Sc 0.823 0.677 0.000
Mn 0.000 0.000 0.500
Mn 0.500 0.500 0.500
Ru 0.147 0.647 0.500
Ru 0.353 0.147 0.500
Ru 0.647 0.853 0.500
Ru 0.853 0.353 0.500

## Properties
Energy of formation, eV per atom: -0.18
DOS at the Fermi energy, states/eV/f.u.: 4.9
Space group: P4/mbm


Record 2
InSi2N after structural relaxation. Source: Alexandria, functional PBE.

Unit cell a=4.497 b=4.497 c=4.497 alpha=60.00 beta=60.00 gamma=60.00
Sites, in units of the cell vectors:
In 0.000 0.000 0.000
Si 0.250 0.250 0.250
Si 0.750 0.750 0.750
N 0.500 0.500 0.500

## Properties
Formation energy without anion corrections, meV/atom: 1437
DOS at the Fermi energy, states/eV/f.u.: 3.0
Space group: Fm-3m